A relaxed PrSm4Tm2 crystal. Source: Alexandria via LeMat-Bulk, functional PBE.

## Properties
As for the polymorph energy (0 for the lowest one): 0 meV per atom. Its raw total energy is -64.95 eV/cell. Its density of states at the Fermi level is 9.449 states/eV/f.u.

Geometry as CIF:
```
data_PrSm4Tm2
_chemical_formula_sum 'Pr2 Sm8 Tm4'
_symmetry_space_group_name_H-M 'P 1'
_symmetry_Int_Tables_number 1
_cell_length_a 7.195
_cell_length_b 8.047
_cell_length_c 8.812
_cell_angle_alpha 68.70
_cell_angle_beta 89.84
_cell_angle_gamma 77.05
loop_
_symmetry_equiv_pos_as_xyz
'x,y,z'
loop_
_atom_site_label
_atom_site_fract_x
_atom_site_fract_y
_atom_site_fract_z
Pr1 0.000 0.000 0.000
Pr2 0.431 0.284 0.572
Sm1 0.073 0.712 0.429
Sm2 0.217 0.140 0.286
Sm3 0.289 0.851 0.716
Sm4 0.360 0.570 0.144
Sm5 0.644 0.425 0.859
Sm6 0.787 0.853 0.715
Sm7 0.859 0.569 0.144
Sm8 0.929 0.285 0.570
Tm1 0.145 0.426 0.859
Tm2 0.502 0.998 0.002
Tm3 0.572 0.716 0.427
Tm4 0.715 0.138 0.286
```